{"formula": "CaY3Ir", "functional": "PBE", "state": "relaxed", "e_above_lowest_polymorph_ev_per_fu": 0.21, "total_magnetization_mub_per_fu": 0.00, "total_energy_ev_per_atom": -6.4121, "delta_e_f_ev_per_fu": -1.8, "lattice": [[-4.581, -4.028, -2.968], [4.026, -5.011, -1.438], [-1.400, -2.859, 6.040]], "species": ["Y", "Y", "Y", "Y", "Y", "Y", "Ca", "Ca", "Ir", "Ir"], "frac_coords": [[0.722, 0.745, 0.632], [0.369, 0.245, 0.802], [0.869, 0.245, 0.696], [0.958, 0.413, 0.180], [0.222, 0.745, 0.866], [0.458, 0.413, 0.317], [0.203, 0.925, 0.371], [0.703, 0.925, 0.127], [0.607, 0.525, 0.958], [0.107, 0.525, 0.540]]}

---

{"formula": "Re2SbAu", "functional": "PBE", "state": "relaxed", "total_magnetization_mub_per_fu": 0.00, "total_energy_ev_per_atom": -7.2271, "lattice": [[4.630, 0.000, 0.000], [2.315, 4.009, 0.000], [2.315, 1.336, 3.780]], "species": ["Sb", "Re", "Re", "Au"], "frac_coords": [[0.750, 0.750, 0.750], [0.000, 0.000, 0.000], [0.250, 0.250, 0.250], [0.500, 0.500, 0.500]]}

---

{"formula": "LiY2Sn", "functional": "PBE", "state": "relaxed", "total_magnetization_mub_per_fu": 0.69, "total_energy_ev_per_atom": -4.7684, "delta_e_f_ev_per_fu": -0.2, "lattice": [[-5.009, -5.568, 3.443], [6.190, -5.440, 0.206], [1.414, -4.459, 4.713]], "species": ["Y", "Y", "Y", "Y", "Sn", "Sn", "Li", "Li"], "frac_coords": [[0.614, 0.125, 0.250], [0.875, 0.864, 0.750], [0.136, 0.625, 0.250], [0.375, 0.386, 0.750], [0.750, 0.250, 0.500], [0.000, 0.000, 0.000], [0.500, 0.500, 0.000], [0.250, 0.750, 0.500]]}

---

{"formula": "BeZn2Au5", "functional": "PBE", "state": "relaxed", "total_magnetization_mub_per_fu": 0.00, "total_energy_ev_per_atom": -2.9914, "delta_e_f_ev_per_fu": -1.3, "lattice": [[4.185, 0.000, 0.000], [0.000, 5.608, 0.000], [0.000, 0.000, 10.912]], "species": ["Au", "Au", "Au", "Au", "Au", "Au", "Au", "Au", "Au", "Au", "Zn", "Zn", "Zn", "Zn", "Be", "Be"], "frac_coords": [[0.000, 0.419, 0.776], [0.000, 0.581, 0.224], [0.500, 0.824, 0.406], [0.000, 0.081, 0.276], [0.000, 0.500, 0.500], [0.000, 0.919, 0.724], [0.500, 0.676, 0.906], [0.500, 0.176, 0.594], [0.500, 0.324, 0.094], [0.000, 0.000, 0.000], [0.500, 0.843, 0.145], [0.500, 0.657, 0.645], [0.500, 0.157, 0.855], [0.500, 0.343, 0.355], [0.000, 0.000, 0.500], [0.000, 0.500, 0.000]]}